--- one ---
SiHgPb2 | GGA-PBE | optimized geometry

Lattice parameters (Å, degrees): 7.4787 7.4787 7.4787 90.00 90.00 90.00
Space group Fm-3m (No. 225)
Symmetry-distinct sites (fractional):
Si  0.0000  0.0000  0.0000 (multiplicity 4)
Hg  0.0000  0.0000  0.5000 (multiplicity 4)
Pb  0.2500  0.2500  0.2500 (multiplicity 8)

Values from the calculation:
DOS(E_F)	0.4933	states/eV/atom
ρ	10.21	Mg/m³

***

--- two ---
SiHgPb2 | GGA-PBE | optimized geometry

Lattice parameters (Å, degrees): 7.7633 3.3272 8.6533 90.00 95.83 90.00
Space group C2/m (No. 12)
Symmetry-distinct sites (fractional):
Si  0.0000  0.0000  0.0000 (multiplicity 2)
Hg  0.0000  0.5000  0.5000 (multiplicity 2)
Pb  0.2381  0.5000  0.2117 (multiplicity 4)

Values from the calculation:
DOS(E_F)	0.2998	states/eV/atom
ρ	9.60	Mg/m³

***

--- three ---
SiHgPb2 | GGA-PBE | optimized geometry

Lattice parameters (Å, degrees): 6.8589 6.8589 11.9282 90.00 90.00 90.00
Space group I-42d (No. 122)
Symmetry-distinct sites (fractional):
Si  0.0000  0.0000  0.0000 (multiplicity 4)
Hg  0.0000  0.0000  0.5000 (multiplicity 4)
Pb  0.2184  0.2500  0.1250 (multiplicity 8)

Values from the calculation:
DOS(E_F)	0.3902	states/eV/atom
ρ	7.61	Mg/m³

***

Energies in meV/atom, measured from the most stable structure: one 53; two 0; three 130.